DFT (PBE-GGA) results for a geometry-optimized CdPt8Rh2 structure.

Cell lengths 3.969, 6.296, 7.432 Å; angles 104.81, 105.49, 90.00 degrees
Fractional positions:
Pt 0.595 0.456 0.189
Pt 0.048 0.723 0.095
Pt 0.861 0.809 0.721
Pt 0.405 0.544 0.811
Pt 0.316 0.085 0.632
Pt 0.139 0.191 0.279
Pt 0.952 0.277 0.905
Pt 0.684 0.915 0.368
Rh 0.225 0.634 0.450
Rh 0.775 0.366 0.550
Cd 0.500 0.000 0.000

SG: C2/m (12)
Formation enthalpy at 0 K (meV/atom): -70
Theoretical density (Mg/m³): 18.08